{
  "formula": "LaScMo",
  "functional": "PBE",
  "state": "optimized geometry",
  "delta_e_f_ev_per_atom": 0.45,
  "relative_energy_mev_per_atom": 136.0,
  "dos_ef_per_ev_cell": 4.125,
  "crystal_system": "orthorhombic",
  "sg": "Imm2",
  "cell": [[-1.530, 2.530, 4.353], [1.530, -2.530, 4.353], [1.530, 2.530, -4.353]],
  "species": ["La", "Sc", "Mo"],
  "fractional_positions": [[0.000, 0.000, 0.000], [0.337, 0.337, 0.000], [0.676, 0.676, 0.000]]
}